Compound: KTcHg2
Source: Alexandria
Functional: PBE
Structure: optimized geometry

The formation energy comes out at 0.905 eV per atom. As for the raw total energy: -33.8 eV/cell. As for the distance to the lowest polymorph of the same formula: 1.60 eV/f.u. As for the spin magnetization: 14.4 μB/cell.

Unit cell a=7.3585 b=7.3585 c=7.3585 alpha=90.00 beta=90.00 gamma=90.00
Space group F-43m (No. 216)
Symmetry-distinct sites (fractional):
K (0.0000, 0.0000, 0.0000)
Tc (0.2500, 0.2500, 0.2500)
Hg (0.0000, 0.0000, 0.5000)
Hg (0.2500, 0.2500, 0.7500)